Entry 1:
ScSi3Sn | GGA-PBEsol | optimized geometry

- ΔE to the lowest computed polymorph (meV/atom) = 0
- energy relative to the elements, uncorrected (eV/atom) = 0.76
- raw total energy (eV per atom) = -4.8657
- size of the total moment (μB/atom) = 0.000

a = 4.941 Å, b = 4.941 Å, c = 4.941 Å
α = 90.00°, β = 90.00°, γ = 90.00°
Space group Pm-3m (No. 221)
Asymmetric unit:
Sc: 0.000 0.000 0.000 (multiplicity 1)
Si: 0.000 0.000 0.500 (multiplicity 3)
Sn: 0.500 0.500 0.500 (multiplicity 1)

=====

Entry 2:
SrSc2Si | GGA-PBEsol | optimized geometry

- energy relative to the elements, uncorrected (eV/atom) = 0.09
- raw total energy (eV per atom) = -5.1064
- size of the total moment (μB/atom) = 0.308

a = 7.165 Å, b = 7.165 Å, c = 7.165 Å
α = 90.00°, β = 90.00°, γ = 90.00°
Space group F-43m (No. 216)
Asymmetric unit:
Sr: 0.000 0.000 0.000 (multiplicity 4)
Sc: 0.000 0.000 0.500 (multiplicity 4)
Sc: 0.250 0.250 0.750 (multiplicity 4)
Si: 0.250 0.250 0.250 (multiplicity 4)

=====

Entry 3:
SrScSi2 | GGA-PBEsol | optimized geometry

- ΔE to the lowest computed polymorph (meV/atom) = 0
- energy relative to the elements, uncorrected (eV/atom) = -0.45
- raw total energy (eV per atom) = -5.4319
- size of the total moment (μB/atom) = 0.000

a = 3.672 Å, b = 4.248 Å, c = 11.809 Å
α = 90.00°, β = 90.00°, γ = 90.00°
Space group Imm2 (No. 44)
Asymmetric unit:
Sr: 0.000 0.000 0.000 (multiplicity 2)
Sc: 0.000 0.500 0.760 (multiplicity 2)
Si: 0.000 0.000 0.612 (multiplicity 2)
Si: 0.000 0.500 0.249 (multiplicity 2)

=====

Entry 4:
SrScSi2 | GGA-PBEsol | optimized geometry

- ΔE to the lowest computed polymorph (meV/atom) = 225
- energy relative to the elements, uncorrected (eV/atom) = -0.22
- raw total energy (eV per atom) = -5.2064
- size of the total moment (μB/atom) = 0.038

a = 6.514 Å, b = 8.258 Å, c = 3.074 Å
α = 90.00°, β = 90.00°, γ = 90.00°
Space group Cmmm (No. 65)
Asymmetric unit:
Sr: 0.000 0.000 0.000 (multiplicity 2)
Sc: 0.000 0.500 0.000 (multiplicity 2)
Si: 0.250 0.250 0.500 (multiplicity 4)

=====

Entry 5:
SrScSi2 | GGA-PBEsol | optimized geometry

- ΔE to the lowest computed polymorph (meV/atom) = 439
- energy relative to the elements, uncorrected (eV/atom) = -0.01
- raw total energy (eV per atom) = -4.9932
- size of the total moment (μB/atom) = 0.000

a = 5.023 Å, b = 5.023 Å, c = 17.802 Å
α = 90.00°, β = 90.00°, γ = 90.00°
Space group I-42d (No. 122)
Asymmetric unit:
Sr: 0.000 0.000 0.000 (multiplicity 4)
Sc: 0.000 0.000 0.500 (multiplicity 4)
Si: 0.084 0.250 0.625 (multiplicity 8)

=====

Entry 6:
ScTaSi | GGA-PBEsol | optimized geometry

- energy relative to the elements, uncorrected (eV/atom) = 0.94
- raw total energy (eV per atom) = -7.3647
- size of the total moment (μB/atom) = 0.987

a = 6.326 Å, b = 6.326 Å, c = 6.326 Å
α = 90.00°, β = 90.00°, γ = 90.00°
Space group F-43m (No. 216)
Asymmetric unit:
Sc: 0.000 0.000 0.000 (multiplicity 4)
Ta: 0.250 0.250 0.250 (multiplicity 4)
Si: 0.250 0.250 0.750 (multiplicity 4)

=====

Entry 7:
ScTaSi2 | GGA-PBEsol | optimized geometry

- ΔE to the lowest computed polymorph (meV/atom) = 869
- energy relative to the elements, uncorrected (eV/atom) = 0.14
- raw total energy (eV per atom) = -7.5204
- size of the total moment (μB/atom) = 0.000

a = 6.320 Å, b = 6.320 Å, c = 6.320 Å
α = 90.00°, β = 90.00°, γ = 90.00°
Space group F-43m (No. 216)
Asymmetric unit:
Sc: 0.000 0.000 0.000 (multiplicity 4)
Ta: 0.250 0.250 0.750 (multiplicity 4)
Si: 0.000 0.000 0.500 (multiplicity 4)
Si: 0.250 0.250 0.250 (multiplicity 4)

=====

Entry 8:
Sc2TaSi | GGA-PBEsol | optimized geometry

- energy relative to the elements, uncorrected (eV/atom) = -0.17
- raw total energy (eV per atom) = -8.0458
- size of the total moment (μB/atom) = 0.000

a = 2.931 Å, b = 2.931 Å, c = 8.668 Å
α = 90.00°, β = 90.00°, γ = 90.00°
Space group P4mm (No. 99)
Asymmetric unit:
Sc: 0.000 0.000 0.000 (multiplicity 1)
Sc: 0.500 0.500 0.316 (multiplicity 1)
Ta: 0.500 0.500 0.737 (multiplicity 1)
Si: 0.000 0.000 0.530 (multiplicity 1)